(1)
Tl4Pb2I9: relaxed, PBE.

a b c (Å): 8.326 8.326 23.586
angles (deg): 89.98 89.96 60.01
Atoms (fractional coordinates):
Tl  0.167  0.166  0.325
Tl  0.167  0.167  0.010
Tl  0.167  0.167  0.510
Tl  0.167  0.167  0.826
Tl  0.833  0.833  0.174
Tl  0.833  0.833  0.490
Tl  0.833  0.833  0.990
Tl  0.833  0.834  0.675
Pb  0.500  0.500  0.158
Pb  0.500  0.500  0.342
Pb  0.500  0.500  0.658
Pb  0.500  0.500  0.842
I  0.166  0.514  0.586
I  0.167  0.820  0.086
I  0.180  0.487  0.914
I  0.181  0.833  0.414
I  0.200  0.501  0.250
I  0.202  0.800  0.750
I  0.486  0.180  0.414
I  0.487  0.834  0.914
I  0.499  0.202  0.750
I  0.501  0.798  0.250
I  0.513  0.166  0.086
I  0.514  0.820  0.586
I  0.798  0.200  0.250
I  0.800  0.499  0.750
I  0.819  0.167  0.586
I  0.820  0.513  0.086
I  0.833  0.180  0.914
I  0.834  0.486  0.414

Calculated values
- space group = P-1
- energy (eV per atom) = -2.628

---

(2)
PaCuSbRh: relaxed, PBE.

a b c (Å): 4.765 4.765 4.765
angles (deg): 60.00 60.00 60.00
Atoms (fractional coordinates):
Pa  0.000  0.000  0.000
Cu  0.250  0.250  0.250
Sb  0.500  0.500  0.500
Rh  0.750  0.750  0.750

Calculated values
- space group = F-43m
- energy (eV per atom) = -6.696

---

(3)
Sr4PdPb2: relaxed, PBE.

a b c (Å): 9.039 9.039 9.039
angles (deg): 141.71 141.71 55.26
Atoms (fractional coordinates):
Sr  0.000  0.500  0.500
Sr  0.185  0.185  0.000
Sr  0.500  0.000  0.500
Sr  0.815  0.815  0.000
Pd  0.000  0.000  0.000
Pb  0.389  0.389  0.000
Pb  0.611  0.611  0.000

Calculated values
- space group = I4/mmm
- formation enthalpy at 0 K (eV/atom) = -0.3985

---

(4)
Ba3Tl6Cd5: relaxed, PBE.

a b c (Å): 5.256 15.377 10.859
angles (deg): 90.00 90.00 90.00
Atoms (fractional coordinates):
Ba  0.250  0.047  0.246
Ba  0.250  0.453  0.246
Ba  0.250  0.750  0.253
Ba  0.750  0.250  0.747
Ba  0.750  0.547  0.754
Ba  0.750  0.953  0.754
Tl  0.250  0.088  0.884
Tl  0.250  0.250  0.066
Tl  0.250  0.250  0.427
Tl  0.250  0.412  0.884
Tl  0.250  0.603  0.535
Tl  0.250  0.897  0.535
Tl  0.750  0.103  0.465
Tl  0.750  0.397  0.465
Tl  0.750  0.588  0.116
Tl  0.750  0.750  0.573
Tl  0.750  0.750  0.934
Tl  0.750  0.912  0.116
Cd  0.250  0.095  0.608
Cd  0.250  0.405  0.608
Cd  0.250  0.609  0.973
Cd  0.250  0.750  0.758
Cd  0.250  0.891  0.973
Cd  0.750  0.109  0.027
Cd  0.750  0.250  0.242
Cd  0.750  0.391  0.027
Cd  0.750  0.595  0.392
Cd  0.750  0.905  0.392

Calculated values
- space group = Pmmn
- formation enthalpy at 0 K (eV/atom) = -0.2599

---

(5)
AlFeW2: relaxed, PBE.

a b c (Å): 4.532 4.532 2.837
angles (deg): 90.00 90.00 90.00
Atoms (fractional coordinates):
Al  0.000  0.000  0.000
Fe  0.500  0.500  0.000
W  0.000  0.500  0.500
W  0.500  0.000  0.500

Calculated values
- space group = P4/mmm
- formation enthalpy at 0 K (eV/atom) = 0.2529

---

(6)
Hf6C2N3: relaxed, PBE.

a b c (Å): 5.539 5.539 5.420
angles (deg): 90.00 90.00 120.00
Atoms (fractional coordinates):
Hf  0.000  0.340  0.255
Hf  0.000  0.660  0.745
Hf  0.340  0.000  0.255
Hf  0.340  0.340  0.745
Hf  0.660  0.000  0.745
Hf  0.660  0.660  0.255
C  0.333  0.667  0.500
C  0.667  0.333  0.500
N  0.000  0.000  0.500
N  0.333  0.667  0.000
N  0.667  0.333  0.000

Calculated values
- space group = P-31m
- energy (eV per atom) = -10.662

---

(7)
CaAlCd2: relaxed, PBE.

a b c (Å): 4.590 4.590 4.483
angles (deg): 90.00 90.00 90.00
Atoms (fractional coordinates):
Ca  0.000  0.000  0.000
Al  0.500  0.500  0.000
Cd  0.000  0.500  0.500
Cd  0.500  0.000  0.500

Calculated values
- space group = P4/mmm
- formation enthalpy at 0 K (eV/atom) = -0.1528

---

(8)
SmYAl6: relaxed, PBE.

a b c (Å): 4.658 6.325 6.325
angles (deg): 60.06 90.00 90.00
Atoms (fractional coordinates):
Sm  0.000  0.000  0.000
Y  0.500  0.667  0.667
Al  0.000  0.043  0.479
Al  0.000  0.479  0.043
Al  0.000  0.479  0.479
Al  0.500  0.189  0.189
Al  0.500  0.190  0.621
Al  0.500  0.621  0.190

Calculated values
- space group = Amm2
- formation enthalpy at 0 K (eV/atom) = -0.4414